1.
DFT (SCAN) results for Tl2CdCo at its PBEsol-relaxed geometry.

extended XYZ file:
```
4
Lattice="-1.488 2.204 6.569 1.488 -2.204 6.569 1.488 2.204 -6.569" Properties=species:S:1:pos:R:3 pbc="T T T"
Tl 0.000 0.000 2.260
Tl 0.000 0.000 10.877
Cd 0.000 2.204 0.000
Co 1.488 0.000 0.000
```

Results
SG   Immm, No. 71
Energy relative to the lowest polymorph listed for this composition   0 meV per atom

2.
DFT (SCAN) results for Cd2CoW at its PBEsol-relaxed geometry.

extended XYZ file:
```
4
Lattice="1.409 0.813 9.354 -1.409 0.813 9.354 0.000 -1.627 9.354" Properties=species:S:1:pos:R:3 pbc="T T T"
Cd 0.000 0.000 6.861
Cd 0.000 0.000 21.200
Co 0.000 0.000 14.030
W 0.000 0.000 0.000
```

Results
SG   R-3m, No. 166
Energy relative to the lowest polymorph listed for this composition   0 meV per atom

3.
DFT (SCAN) results for CdCoW2 at its PBEsol-relaxed geometry.

extended XYZ file:
```
4
Lattice="-1.974 1.974 3.850 1.974 -1.974 3.850 1.974 1.974 -3.850" Properties=species:S:1:pos:R:3 pbc="T T T"
Cd 0.000 0.000 0.000
Co 0.000 1.974 1.925
W 1.974 0.000 1.925
W 0.000 0.000 3.850
```

Results
SG   I-4m2, No. 119

4.
DFT (SCAN) results for Cd2CoW at its PBEsol-relaxed geometry.

extended XYZ file:
```
4
Lattice="3.854 0.000 0.000 0.000 3.854 0.000 0.000 0.000 4.296" Properties=species:S:1:pos:R:3 pbc="T T T"
Cd 0.000 1.927 0.000
Cd 1.927 0.000 0.000
Co 0.000 0.000 2.148
W 1.927 1.927 2.148
```

Results
SG   P4/mmm, No. 123
Energy relative to the lowest polymorph listed for this composition   163 meV per atom

5.
DFT (SCAN) results for CdCoW2 at its PBEsol-relaxed geometry.

extended XYZ file:
```
4
Lattice="2.638 -4.212 0.000 2.638 4.212 0.000 0.000 0.000 2.682" Properties=species:S:1:pos:R:3 pbc="T T T"
Cd 0.000 0.000 0.000
Co 2.638 0.000 0.000
W 1.319 2.106 1.341
W 1.319 -2.106 1.341
```

Results
SG   Cmmm, No. 65

6.
DFT (SCAN) results for Y2CdCo at its PBEsol-relaxed geometry.

extended XYZ file:
```
4
Lattice="-2.138 2.138 4.531 2.138 -2.138 4.531 2.138 2.138 -4.531" Properties=species:S:1:pos:R:3 pbc="T T T"
Y 0.000 0.000 0.000
Y 0.000 2.138 2.265
Cd 0.000 0.000 4.531
Co 2.138 0.000 2.265
```

Results
SG   I-4m2, No. 119

7.
DFT (SCAN) results for Y4CdCo at its PBEsol-relaxed geometry.

extended XYZ file:
```
6
Lattice="0.000 4.263 4.263 4.263 0.000 4.263 4.263 4.263 0.000" Properties=species:S:1:pos:R:3 pbc="T T T"
Y 1.062 1.062 1.062
Y 3.200 3.200 1.062
Y 3.200 1.062 3.200
Y 1.062 3.200 3.200
Cd 4.263 4.263 4.263
Co 6.394 6.394 6.394
```

Results
SG   F-43m, No. 216

8.
DFT (SCAN) results for Y2CdCo at its PBEsol-relaxed geometry.

extended XYZ file:
```
4
Lattice="3.344 0.000 0.000 0.000 3.344 0.000 0.000 0.000 7.646" Properties=species:S:1:pos:R:3 pbc="T T T"
Y 0.000 0.000 1.610
Y 0.000 0.000 6.036
Cd 1.672 1.672 3.823
Co 1.672 1.672 0.000
```

Results
SG   P4/mmm, No. 123

9.
DFT (SCAN) results for Y2CdCo at its PBEsol-relaxed geometry.

extended XYZ file:
```
4
Lattice="3.766 0.000 0.000 0.000 3.766 0.000 0.000 0.000 6.540" Properties=species:S:1:pos:R:3 pbc="T T T"
Y 0.000 0.000 0.000
Y 1.883 1.883 2.138
Cd 0.000 0.000 3.667
Co 1.883 1.883 5.917
```

Results
SG   P4mm, No. 99

10.
DFT (SCAN) results for YCdCo2 at its PBEsol-relaxed geometry.

extended XYZ file:
```
4
Lattice="3.065 0.000 0.000 0.000 3.065 0.000 0.000 0.000 7.091" Properties=species:S:1:pos:R:3 pbc="T T T"
Y 0.000 0.000 0.000
Cd 1.533 1.533 2.445
Co 0.000 0.000 4.189
Co 1.533 1.533 5.180
```

Results
SG   P4mm, No. 99

11.
DFT (SCAN) results for YCd2Co at its PBEsol-relaxed geometry.

extended XYZ file:
```
4
Lattice="3.995 0.000 0.000 0.000 3.995 0.000 0.000 0.000 4.816" Properties=species:S:1:pos:R:3 pbc="T T T"
Y 0.000 0.000 0.000
Cd 0.000 1.997 2.408
Cd 1.997 0.000 2.408
Co 1.997 1.997 0.000
```

Results
SG   P4/mmm, No. 123

12.
DFT (SCAN) results for Y3CdCo at its PBEsol-relaxed geometry.

extended XYZ file:
```
5
Lattice="5.480 0.000 0.000 0.000 5.480 0.000 0.000 0.000 5.480" Properties=species:S:1:pos:R:3 pbc="T T T"
Y 0.000 0.000 2.740
Y 0.000 2.740 0.000
Y 2.740 0.000 0.000
Cd 0.000 0.000 0.000
Co 2.740 2.740 2.740
```

Results
SG   Pm-3m, No. 221

13.
DFT (SCAN) results for YCdCo2 at its PBEsol-relaxed geometry.

extended XYZ file:
```
4
Lattice="-1.908 1.908 4.408 1.908 -1.908 4.408 1.908 1.908 -4.408" Properties=species:S:1:pos:R:3 pbc="T T T"
Y 0.000 0.000 0.000
Cd 0.000 1.908 2.204
Co 1.908 0.000 2.204
Co 0.000 0.000 4.408
```

Results
SG   I-4m2, No. 119

14.
DFT (SCAN) results for YCd2Co at its PBEsol-relaxed geometry.

extended XYZ file:
```
4
Lattice="0.000 3.365 3.365 3.365 0.000 3.365 3.365 3.365 0.000" Properties=species:S:1:pos:R:3 pbc="T T T"
Y 0.000 0.000 0.000
Cd 3.365 3.365 3.365
Cd 5.048 5.048 5.048
Co 1.683 1.683 1.683
```

Results
SG   F-43m, No. 216

15.
DFT (SCAN) results for Y2CdCo at its PBEsol-relaxed geometry.

extended XYZ file:
```
4
Lattice="3.294 0.000 0.000 0.000 3.294 0.000 0.000 0.000 8.104" Properties=species:S:1:pos:R:3 pbc="T T T"
Y 0.000 0.000 0.000
Y 1.647 1.647 2.912
Cd 0.000 0.000 5.082
Co 1.647 1.647 6.556
```

Results
SG   P4mm, No. 99

16.
DFT (SCAN) results for Zn3CdCo at its PBEsol-relaxed geometry.

extended XYZ file:
```
5
Lattice="4.486 0.000 0.000 0.000 4.486 0.000 0.000 0.000 4.486" Properties=species:S:1:pos:R:3 pbc="T T T"
Zn 0.000 0.000 2.243
Zn 0.000 2.243 0.000
Zn 2.243 0.000 0.000
Cd 2.243 2.243 2.243
Co 0.000 0.000 0.000
```

Results
SG   Pm-3m, No. 221

17.
DFT (SCAN) results for Zn2CdCo at its PBEsol-relaxed geometry.

extended XYZ file:
```
4
Lattice="-1.489 2.171 4.365 1.489 -2.171 4.365 1.489 2.171 -4.365" Properties=species:S:1:pos:R:3 pbc="T T T"
Zn 0.000 0.000 1.954
Zn 0.000 0.000 6.776
Cd 0.000 2.171 0.000
Co 1.489 0.000 0.000
```

Results
SG   Immm, No. 71

18.
DFT (SCAN) results for ZrCd3Co at its PBEsol-relaxed geometry.

extended XYZ file:
```
5
Lattice="5.418 0.000 0.000 0.000 5.418 0.000 0.000 0.000 5.418" Properties=species:S:1:pos:R:3 pbc="T T T"
Zr 0.000 0.000 0.000
Cd 0.000 0.000 2.709
Cd 0.000 2.709 0.000
Cd 2.709 0.000 0.000
Co 2.709 2.709 2.709
```

Results
SG   Pm-3m, No. 221
Energy relative to the lowest polymorph listed for this composition   907 meV per atom

19.
DFT (SCAN) results for ZrCdCo2 at its PBEsol-relaxed geometry.

extended XYZ file:
```
4
Lattice="1.514 0.874 7.883 -1.514 0.874 7.883 0.000 -1.748 7.883" Properties=species:S:1:pos:R:3 pbc="T T T"
Zr 0.000 0.000 0.000
Cd 0.000 0.000 11.824
Co 0.000 0.000 6.015
Co 0.000 0.000 17.634
```

Results
SG   R-3m, No. 166

20.
DFT (SCAN) results for ZrCdCo3 at its PBEsol-relaxed geometry.

extended XYZ file:
```
5
Lattice="4.444 0.000 0.000 0.000 4.444 0.000 0.000 0.000 4.444" Properties=species:S:1:pos:R:3 pbc="T T T"
Zr 0.000 0.000 0.000
Cd 2.222 2.222 2.222
Co 0.000 0.000 2.222
Co 0.000 2.222 0.000
Co 2.222 0.000 0.000
```

Results
SG   Pm-3m, No. 221

Raw total energy values (in eV per atom) by entry order: -47.8004 -36.4277 -46.0957 -36.2651 -46.1848 -25.8253 -25.8566 -26.2048 -25.7019 -23.2099 -26.4548 -25.4912 -23.0196 -26.6641 -25.8957 -17.1824 -18.4953 -26.4132 -23.5754 -21.2460.